Entry 1:
A geometry-optimized CoP2BrCl structure. Source: the Alexandria database, functional GGA-PBE.

Summary:
Energy relative to the elements, uncorrected, eV per atom: 0.3939
Polymorph energy (0 for the lowest one), eV per atom: 0.000
Symmetry: P4/mmm, No. 123

Cell lengths 4.4380, 4.4380, 4.6838 Å; angles 90.00, 90.00, 90.00 degrees
Element x y z (fractional)
Co1 0.0000 0.0000 0.0000
P1 0.0000 0.5000 0.0000
P2 0.5000 0.0000 0.0000
Br1 0.5000 0.5000 0.5000
Cl1 0.0000 0.0000 0.5000

Entry 2:
A geometry-optimized AgTeCl2 structure. Source: the Alexandria database, functional GGA-PBE.

Summary:
Energy relative to the elements, uncorrected, eV per atom: 0.1148
Polymorph energy (0 for the lowest one), eV per atom: 0.457
Symmetry: P4/mmm, No. 123

Cell lengths 5.2869, 5.2869, 3.2905 Å; angles 90.00, 90.00, 90.00 degrees
Element x y z (fractional)
Ag1 0.0000 0.0000 0.0000
Te1 0.5000 0.5000 0.0000
Cl1 0.0000 0.5000 0.5000
Cl2 0.5000 0.0000 0.5000

Entry 3:
A geometry-optimized KZnHg2F8 structure. Source: the Alexandria database, functional GGA-PBE.

Summary:
Energy relative to the elements, uncorrected, eV per atom: -1.7808
Symmetry: P-1, No. 2

Cell lengths 5.0406, 5.3121, 7.4558 Å; angles 85.63, 88.14, 87.01 degrees
Element x y z (fractional)
K1 0.0000 0.0000 0.0000
Zn1 0.0000 0.0000 0.5000
Hg1 0.4804 0.4871 0.2615
Hg2 0.5196 0.5129 0.7385
F1 0.1648 0.7862 0.7044
F2 0.1677 0.7954 0.3110
F3 0.3094 0.2634 0.4862
F4 0.3917 0.2849 0.9707
F5 0.6083 0.7151 0.0293
F6 0.6906 0.7366 0.5138
F7 0.8323 0.2046 0.6890
F8 0.8352 0.2138 0.2956

Entry 4:
A geometry-optimized Ba12Al3F5 structure. Source: the Alexandria database, functional GGA-PBE.

Summary:
Energy relative to the elements, uncorrected, eV per atom: -1.3783
Symmetry: Ia-3d, No. 230

Cell lengths 15.8258, 15.8258, 15.8258 Å; angles 109.47, 109.47, 109.47 degrees
Element x y z (fractional)
Ba1 0.0246 0.2108 0.1203
Ba2 0.0246 0.3138 0.9043
Ba3 0.0905 0.7108 0.6862
Ba4 0.0905 0.8797 0.4043
Ba5 0.0957 0.6203 0.4095
Ba6 0.0957 0.9754 0.6862
Ba7 0.1203 0.0246 0.2108
Ba8 0.1203 0.5957 0.9095
Ba9 0.1862 0.2108 0.5905
Ba10 0.1862 0.4754 0.5957
Ba11 0.2108 0.1203 0.0246
Ba12 0.2108 0.5905 0.1862
Ba13 0.2892 0.3138 0.9095
Ba14 0.2892 0.4754 0.3797
Ba15 0.3138 0.9043 0.0246
Ba16 0.3138 0.9095 0.2892
Ba17 0.3797 0.2892 0.4754
Ba18 0.3797 0.5905 0.9043
Ba19 0.4043 0.0905 0.8797
Ba20 0.4043 0.8138 0.5246
Ba21 0.4095 0.0957 0.6203
Ba22 0.4095 0.8138 0.7892
Ba23 0.4754 0.3797 0.2892
Ba24 0.4754 0.5957 0.1862
Ba25 0.5246 0.4043 0.8138
Ba26 0.5246 0.6203 0.7108
Ba27 0.5905 0.1862 0.2108
Ba28 0.5905 0.9043 0.3797
Ba29 0.5957 0.1862 0.4754
Ba30 0.5957 0.9095 0.1203
Ba31 0.6203 0.4095 0.0957
Ba32 0.6203 0.7108 0.5246
Ba33 0.6862 0.0905 0.7108
Ba34 0.6862 0.0957 0.9754
Ba35 0.7108 0.5246 0.6203
Ba36 0.7108 0.6862 0.0905
Ba37 0.7892 0.4095 0.8138
Ba38 0.7892 0.8797 0.9754
Ba39 0.8138 0.5246 0.4043
Ba40 0.8138 0.7892 0.4095
Ba41 0.8797 0.4043 0.0905
Ba42 0.8797 0.9754 0.7892
Ba43 0.9043 0.0246 0.3138
Ba44 0.9043 0.3797 0.5905
Ba45 0.9095 0.1203 0.5957
Ba46 0.9095 0.2892 0.3138
Ba47 0.9754 0.6862 0.0957
Ba48 0.9754 0.7892 0.8797
Al1 0.1250 0.2500 0.3750
Al2 0.1250 0.3750 0.7500
Al3 0.2500 0.3750 0.1250
Al4 0.2500 0.8750 0.6250
Al5 0.3750 0.1250 0.2500
Al6 0.3750 0.7500 0.1250
Al7 0.6250 0.2500 0.8750
Al8 0.6250 0.8750 0.7500
Al9 0.7500 0.1250 0.3750
Al10 0.7500 0.6250 0.8750
Al11 0.8750 0.6250 0.2500
Al12 0.8750 0.7500 0.6250
F1 0.0000 0.0000 0.0000
F2 0.0000 0.0000 0.5000
F3 0.0000 0.5000 0.0000
F4 0.0000 0.5000 0.5000
F5 0.1250 0.7500 0.8750
F6 0.1250 0.8750 0.2500
F7 0.2500 0.1250 0.8750
F8 0.2500 0.6250 0.3750
F9 0.3750 0.2500 0.6250
F10 0.3750 0.6250 0.7500
F11 0.5000 0.0000 0.0000
F12 0.5000 0.0000 0.5000
F13 0.5000 0.5000 0.0000
F14 0.5000 0.5000 0.5000
F15 0.6250 0.3750 0.2500
F16 0.6250 0.7500 0.3750
F17 0.7500 0.3750 0.6250
F18 0.7500 0.8750 0.1250
F19 0.8750 0.1250 0.7500
F20 0.8750 0.2500 0.1250

What did the fourth record say?
A geometry-optimized Ba12Al3F5 structure. Source: the Alexandria database, functional GGA-PBE.

Summary:
Energy relative to the elements, uncorrected, eV per atom: -1.3783
Symmetry: Ia-3d, No. 230

Cell lengths 15.8258, 15.8258, 15.8258 Å; angles 109.47, 109.47, 109.47 degrees
Element x y z (fractional)
Ba1 0.0246 0.2108 0.1203
Ba2 0.0246 0.3138 0.9043
Ba3 0.0905 0.7108 0.6862
Ba4 0.0905 0.8797 0.4043
Ba5 0.0957 0.6203 0.4095
Ba6 0.0957 0.9754 0.6862
Ba7 0.1203 0.0246 0.2108
Ba8 0.1203 0.5957 0.9095
Ba9 0.1862 0.2108 0.5905
Ba10 0.1862 0.4754 0.5957
Ba11 0.2108 0.1203 0.0246
Ba12 0.2108 0.5905 0.1862
Ba13 0.2892 0.3138 0.9095
Ba14 0.2892 0.4754 0.3797
Ba15 0.3138 0.9043 0.0246
Ba16 0.3138 0.9095 0.2892
Ba17 0.3797 0.2892 0.4754
Ba18 0.3797 0.5905 0.9043
Ba19 0.4043 0.0905 0.8797
Ba20 0.4043 0.8138 0.5246
Ba21 0.4095 0.0957 0.6203
Ba22 0.4095 0.8138 0.7892
Ba23 0.4754 0.3797 0.2892
Ba24 0.4754 0.5957 0.1862
Ba25 0.5246 0.4043 0.8138
Ba26 0.5246 0.6203 0.7108
Ba27 0.5905 0.1862 0.2108
Ba28 0.5905 0.9043 0.3797
Ba29 0.5957 0.1862 0.4754
Ba30 0.5957 0.9095 0.1203
Ba31 0.6203 0.4095 0.0957
Ba32 0.6203 0.7108 0.5246
Ba33 0.6862 0.0905 0.7108
Ba34 0.6862 0.0957 0.9754
Ba35 0.7108 0.5246 0.6203
Ba36 0.7108 0.6862 0.0905
Ba37 0.7892 0.4095 0.8138
Ba38 0.7892 0.8797 0.9754
Ba39 0.8138 0.5246 0.4043
Ba40 0.8138 0.7892 0.4095
Ba41 0.8797 0.4043 0.0905
Ba42 0.8797 0.9754 0.7892
Ba43 0.9043 0.0246 0.3138
Ba44 0.9043 0.3797 0.5905
Ba45 0.9095 0.1203 0.5957
Ba46 0.9095 0.2892 0.3138
Ba47 0.9754 0.6862 0.0957
Ba48 0.9754 0.7892 0.8797
Al1 0.1250 0.2500 0.3750
Al2 0.1250 0.3750 0.7500
Al3 0.2500 0.3750 0.1250
Al4 0.2500 0.8750 0.6250
Al5 0.3750 0.1250 0.2500
Al6 0.3750 0.7500 0.1250
Al7 0.6250 0.2500 0.8750
Al8 0.6250 0.8750 0.7500
Al9 0.7500 0.1250 0.3750
Al10 0.7500 0.6250 0.8750
Al11 0.8750 0.6250 0.2500
Al12 0.8750 0.7500 0.6250
F1 0.0000 0.0000 0.0000
F2 0.0000 0.0000 0.5000
F3 0.0000 0.5000 0.0000
F4 0.0000 0.5000 0.5000
F5 0.1250 0.7500 0.8750
F6 0.1250 0.8750 0.2500
F7 0.2500 0.1250 0.8750
F8 0.2500 0.6250 0.3750
F9 0.3750 0.2500 0.6250
F10 0.3750 0.6250 0.7500
F11 0.5000 0.0000 0.0000
F12 0.5000 0.0000 0.5000
F13 0.5000 0.5000 0.0000
F14 0.5000 0.5000 0.5000
F15 0.6250 0.3750 0.2500
F16 0.6250 0.7500 0.3750
F17 0.7500 0.3750 0.6250
F18 0.7500 0.8750 0.1250
F19 0.8750 0.1250 0.7500
F20 0.8750 0.2500 0.1250